Material: TlPS2Cl
Method: DFT, PBE
State: optimized geometry

Computed properties:
Space-group type: P4/mmm, No. 123
Energy relative to the lowest polymorph listed for this composition: 997 meV/atom
Mass density: 4.669 g/cm3
ΔE_f (raw): 0.944 eV per atom
Calculated volume: 119 Å³ per cell
N(E_F): 1.460 states/eV/atom

Geometry as extended XYZ:
```
5
Lattice="-3.228 1.971 -3.466 3.417 -0.931 -3.712 -1.813 -4.097 -0.641" Properties=species:S:1:pos:R:3 pbc="T T T"
P -0.906 -2.049 -0.321
Tl -0.812 -1.529 -3.910
S 1.709 -0.466 -1.856
S -1.614 0.985 -1.733
Cl 0.000 0.000 0.000
```